First-principles (PBEsol) data for a relaxed Y2MgMn crystal, as listed in Alexandria via LeMat-Bulk.

- Fermi-level density of states (states/eV/cell) = 5.00
- space-group type = P4/mmm (123)
- DFT formation energy (eV/atom) = 0.168

abc: 5.1061 5.1061 3.6461
angles: 90.00 90.00 90.00
Last column: nearest neighbours and their distance in Å.
Element x y z (fractional)
1 Y 0.0000 0.5000 0.0000  4 Mn 3.14, 4 Mg 3.14
2 Y 0.5000 0.0000 0.0000  4 Mn 3.14, 4 Mg 3.14
3 Mg 0.0000 0.0000 0.5000  8 Y 3.14
4 Mn 0.5000 0.5000 0.5000  8 Y 3.14